A plane-wave DFT calculation with PBE was carried out for Li3GeS after structural relaxation.

Computed properties:
Its total energy is -16.6 eV for the cell shown. The value obtained for the volume is 18.90 A^3/atom. The calculation puts the uncorrected formation energy at -0.432 eV/atom. The calculation puts the polymorph energy (0 for the lowest one) at 0 meV/atom.

Lattice parameters (Å, degrees): 4.5548 4.5548 4.5548 90.00 90.00 90.00
Fractional positions:
Li 0.0000 0.0000 0.5000
Li 0.0000 0.5000 0.0000
Li 0.5000 0.0000 0.0000
Ge 0.5000 0.5000 0.5000
S 0.0000 0.0000 0.0000

A plane-wave DFT calculation with PBE was carried out for Li3GeS4 after structural relaxation.

Computed properties:
Its total energy is -66.5 eV for the cell shown. The value obtained for the volume is 20.56 A^3/atom. The calculation puts the uncorrected formation energy at -0.801 eV/atom.

Lattice parameters (Å, degrees): 7.0035 7.1590 6.5621 90.00 90.00 90.00
Fractional positions:
Li 0.0000 0.1358 0.0000
Li 0.2434 0.3399 0.5190
Li 0.2566 0.6601 0.0190
Li 0.5000 0.8642 0.5000
Li 0.7434 0.6601 0.0190
Li 0.7566 0.3399 0.5190
Ge 0.0000 0.8215 0.5012
Ge 0.5000 0.1785 0.0012
S 0.0000 0.1133 0.3711
S 0.0000 0.8354 0.8433
S 0.2489 0.6591 0.3895
S 0.2511 0.3409 0.8895
S 0.5000 0.1646 0.3433
S 0.5000 0.8867 0.8711
S 0.7489 0.3409 0.8895
S 0.7511 0.6591 0.3895

A plane-wave DFT calculation with PBE was carried out for LiGe2S6 after structural relaxation.

Computed properties:
Its total energy is -76.4 eV for the cell shown. The value obtained for the volume is 24.84 A^3/atom. The calculation puts the uncorrected formation energy at -0.252 eV/atom.

Lattice parameters (Å, degrees): 7.9223 7.9223 8.1884 101.13 101.13 63.30
Fractional positions:
Li 0.1883 0.8117 0.7500
Li 0.8117 0.1883 0.2500
Ge 0.2524 0.3538 0.8778
Ge 0.3538 0.2524 0.3778
Ge 0.6462 0.7476 0.6222
Ge 0.7476 0.6462 0.1222
S 0.0352 0.2231 0.8410
S 0.0441 0.6808 0.9206
S 0.2231 0.0352 0.3410
S 0.2948 0.4363 0.6320
S 0.3192 0.9559 0.5794
S 0.4363 0.2948 0.1320
S 0.5637 0.7052 0.8680
S 0.6808 0.0441 0.4206
S 0.7052 0.5637 0.3680
S 0.7769 0.9648 0.6590
S 0.9559 0.3192 0.0794
S 0.9648 0.7769 0.1590

A plane-wave DFT calculation with PBE was carried out for LiGeS3 after structural relaxation.

Computed properties:
Its total energy is -40.5 eV for the cell shown. The value obtained for the volume is 19.38 A^3/atom. The calculation puts the uncorrected formation energy at -0.270 eV/atom. The calculation puts the polymorph energy (0 for the lowest one) at 269 meV/atom.

Lattice parameters (Å, degrees): 6.0558 6.0558 6.1013 90.00 90.00 120.00
Fractional positions:
Li 0.3333 0.6667 0.2500
Li 0.6667 0.3333 0.7500
Ge 0.0000 0.0000 0.2500
Ge 0.0000 0.0000 0.7500
S 0.0000 0.3083 0.5000
S 0.0000 0.6917 0.0000
S 0.3083 0.0000 0.5000
S 0.3083 0.3083 0.0000
S 0.6917 0.0000 0.0000
S 0.6917 0.6917 0.5000

A plane-wave DFT calculation with PBE was carried out for Li5GeS5 after structural relaxation.

Computed properties:
Its total energy is -43.9 eV for the cell shown. The value obtained for the volume is 18.05 A^3/atom. The calculation puts the uncorrected formation energy at -0.826 eV/atom.

Lattice parameters (Å, degrees): 6.4118 6.4118 7.0443 105.93 105.93 45.93
Fractional positions:
Li 0.0000 0.0000 0.0000
Li 0.3146 0.3146 0.6338
Li 0.3188 0.3188 0.1905
Li 0.6812 0.6812 0.8095
Li 0.6854 0.6854 0.3662
Ge 0.0000 0.0000 0.5000
S 0.1424 0.1424 0.3247
S 0.1549 0.1549 0.8143
S 0.5000 0.5000 0.5000
S 0.8451 0.8451 0.1857
S 0.8576 0.8576 0.6753

A plane-wave DFT calculation with PBE was carried out for LiGeS2 after structural relaxation.

Computed properties:
Its total energy is -34.1 eV for the cell shown. The value obtained for the volume is 22.71 A^3/atom. The calculation puts the uncorrected formation energy at -0.568 eV/atom.

Lattice parameters (Å, degrees): 7.0718 7.0718 7.0718 133.71 133.71 67.54
Fractional positions:
Li 0.0000 0.0000 0.0000
Li 0.7500 0.2500 0.5000
Ge 0.2500 0.7500 0.5000
Ge 0.5000 0.5000 0.0000
S 0.1393 0.6250 0.0143
S 0.3750 0.3893 0.5143
S 0.6107 0.1250 0.9857
S 0.8750 0.8607 0.4857

A plane-wave DFT calculation with PBE was carried out for Li4GeS5 after structural relaxation.

Computed properties:
Its total energy is -40.0 eV for the cell shown. The value obtained for the volume is 18.21 A^3/atom. The calculation puts the uncorrected formation energy at -0.704 eV/atom.

Lattice parameters (Å, degrees): 6.2252 6.2252 6.2252 105.10 105.10 118.61
Fractional positions:
Li 0.0836 0.7073 0.7909
Li 0.2927 0.0836 0.3763
Li 0.7073 0.9164 0.6237
Li 0.9164 0.2927 0.2091
Ge 0.5008 0.5008 0.0000
S 0.1458 0.1458 0.0000
S 0.3335 0.5278 0.6329
S 0.5278 0.8949 0.1943
S 0.7006 0.3335 0.8057
S 0.8949 0.7006 0.3671

A plane-wave DFT calculation with PBE was carried out for LiGeS2 after structural relaxation.

Computed properties:
Its total energy is -16.6 eV for the cell shown. The value obtained for the volume is 17.48 A^3/atom. The calculation puts the uncorrected formation energy at -0.458 eV/atom.

Lattice parameters (Å, degrees): 6.8726 6.8726 6.8726 29.55 29.55 29.55
Fractional positions:
Li 0.0000 0.0000 0.0000
Ge 0.1682 0.1682 0.1682
S 0.4190 0.4190 0.4190
S 0.5842 0.5842 0.5842

A plane-wave DFT calculation with PBE was carried out for Li3GeS after structural relaxation.

Computed properties:
Its total energy is -13.6 eV for the cell shown. The value obtained for the volume is 22.38 A^3/atom. The calculation puts the uncorrected formation energy at 0.169 eV/atom. The calculation puts the polymorph energy (0 for the lowest one) at 601 meV/atom.

Lattice parameters (Å, degrees): 4.8187 4.8187 4.8187 90.00 90.00 90.00
Fractional positions:
Li 0.0000 0.0000 0.5000
Li 0.0000 0.5000 0.0000
Li 0.5000 0.0000 0.0000
Ge 0.0000 0.0000 0.0000
S 0.5000 0.5000 0.5000

A plane-wave DFT calculation with PBE was carried out for LiGeS2 after structural relaxation.

Computed properties:
Its total energy is -32.6 eV for the cell shown. The value obtained for the volume is 20.01 A^3/atom. The calculation puts the uncorrected formation energy at -0.383 eV/atom.

Lattice parameters (Å, degrees): 6.6678 3.7123 6.7221 90.00 105.86 90.00
Fractional positions:
Li 0.0000 0.0023 0.2500
Li 0.0000 0.9977 0.7500
Ge 0.5000 0.5000 0.0000
Ge 0.5000 0.5000 0.5000
S 0.2343 0.4984 0.6847
S 0.2343 0.5016 0.1847
S 0.7657 0.4984 0.8153
S 0.7657 0.5016 0.3153

A plane-wave DFT calculation with PBE was carried out for LiGe2SbS6 after structural relaxation.

Computed properties:
Its total energy is -88.8 eV for the cell shown. The value obtained for the volume is 22.30 A^3/atom. The calculation puts the uncorrected formation energy at -0.436 eV/atom.

Lattice parameters (Å, degrees): 8.3248 8.3248 6.8184 103.15 103.15 81.86
Fractional positions:
Li 0.1081 0.8919 0.7500
Li 0.8919 0.1081 0.2500
Ge 0.1953 0.3853 0.7722
Ge 0.3853 0.1953 0.2722
Ge 0.6147 0.8047 0.7278
Ge 0.8047 0.6147 0.2278
Sb 0.2630 0.7370 0.2500
Sb 0.7370 0.2630 0.7500
S 0.0165 0.1904 0.6384
S 0.0764 0.6351 0.8697
S 0.1904 0.0165 0.1384
S 0.3203 0.4176 0.5180
S 0.3649 0.9236 0.6303
S 0.4176 0.3203 0.0180
S 0.5824 0.6797 0.9820
S 0.6351 0.0764 0.3697
S 0.6797 0.5824 0.4820
S 0.8096 0.9835 0.8616
S 0.9236 0.3649 0.1303
S 0.9835 0.8096 0.3616

A plane-wave DFT calculation with PBE was carried out for Li2GeSbS4 after structural relaxation.

Computed properties:
Its total energy is -68.3 eV for the cell shown. The value obtained for the volume is 22.76 A^3/atom. The calculation puts the uncorrected formation energy at -0.632 eV/atom.

Lattice parameters (Å, degrees): 8.9444 6.3911 6.3713 90.00 90.00 90.00
Fractional positions:
Li 0.2493 0.1807 0.0000
Li 0.2507 0.8193 0.5000
Li 0.7493 0.8193 0.5000
Li 0.7507 0.1807 0.0000
Ge 0.0000 0.3376 0.5063
Ge 0.5000 0.6624 0.0063
Sb 0.0000 0.7063 0.9543
Sb 0.5000 0.2937 0.4543
S 0.0000 0.3184 0.8717
S 0.0000 0.6813 0.4368
S 0.2119 0.1871 0.3821
S 0.2881 0.8129 0.8821
S 0.5000 0.3187 0.9368
S 0.5000 0.6816 0.3717
S 0.7119 0.8129 0.8821
S 0.7881 0.1871 0.3821

A plane-wave DFT calculation with PBE was carried out for LiScGe2S6 after structural relaxation.

Computed properties:
Its total energy is -101.1 eV for the cell shown. The value obtained for the volume is 21.47 A^3/atom. The calculation puts the uncorrected formation energy at -0.829 eV/atom.

Lattice parameters (Å, degrees): 8.3013 8.3013 6.4289 99.77 99.77 84.91
Fractional positions:
Li 0.2316 0.7684 0.7500
Li 0.7684 0.2316 0.2500
Sc 0.3888 0.6112 0.2500
Sc 0.6112 0.3888 0.7500
Ge 0.1149 0.2852 0.7903
Ge 0.2852 0.1149 0.2903
Ge 0.7148 0.8851 0.7097
Ge 0.8851 0.7148 0.2097
S 0.0569 0.2078 0.0885
S 0.1180 0.6188 0.3789
S 0.2078 0.0569 0.5885
S 0.3079 0.4711 0.8588
S 0.3812 0.8820 0.1211
S 0.4711 0.3079 0.3588
S 0.5289 0.6921 0.6412
S 0.6188 0.1180 0.8789
S 0.6921 0.5289 0.1412
S 0.7922 0.9431 0.4115
S 0.8820 0.3812 0.6211
S 0.9431 0.7922 0.9115

A plane-wave DFT calculation with PBE was carried out for Li4Sc3GeS8 after structural relaxation.

Computed properties:
Its total energy is -87.9 eV for the cell shown. The value obtained for the volume is 17.93 A^3/atom. The calculation puts the uncorrected formation energy at -1.477 eV/atom.

Lattice parameters (Å, degrees): 7.4164 7.4164 7.4164 59.76 59.76 59.76
Fractional positions:
Li 0.0000 0.0000 0.0000
Li 0.0000 0.5000 0.5000
Li 0.5000 0.0000 0.5000
Li 0.5000 0.5000 0.0000
Sc 0.0000 0.0000 0.5000
Sc 0.0000 0.5000 0.0000
Sc 0.5000 0.0000 0.0000
Ge 0.5000 0.5000 0.5000
S 0.2472 0.2472 0.2472
S 0.2500 0.7438 0.7438
S 0.2562 0.2562 0.7500
S 0.2562 0.7500 0.2562
S 0.7438 0.2500 0.7438
S 0.7438 0.7438 0.2500
S 0.7500 0.2562 0.2562
S 0.7528 0.7528 0.7528

A plane-wave DFT calculation with PBE was carried out for LiGe2SeS6 after structural relaxation.

Computed properties:
Its total energy is -83.0 eV for the cell shown. The value obtained for the volume is 22.17 A^3/atom. The calculation puts the uncorrected formation energy at -0.212 eV/atom.

Lattice parameters (Å, degrees): 8.4332 8.4332 6.7582 105.43 105.43 79.44
Fractional positions:
Li 0.1173 0.8827 0.7500
Li 0.8827 0.1173 0.2500
Ge 0.2119 0.3925 0.7759
Ge 0.3925 0.2119 0.2759
Ge 0.6075 0.7881 0.7241
Ge 0.7881 0.6075 0.2241
Se 0.2307 0.7693 0.2500
Se 0.7693 0.2307 0.7500
S 0.0246 0.2029 0.6390
S 0.0800 0.6428 0.8832
S 0.2029 0.0246 0.1390
S 0.3104 0.4372 0.5127
S 0.3572 0.9200 0.6168
S 0.4372 0.3104 0.0127
S 0.5628 0.6896 0.9873
S 0.6428 0.0800 0.3832
S 0.6896 0.5628 0.4873
S 0.7971 0.9754 0.8610
S 0.9200 0.3572 0.1168
S 0.9754 0.7971 0.3610

A plane-wave DFT calculation with PBE was carried out for LiSi2GeS6 after structural relaxation.

Computed properties:
Its total energy is -95.3 eV for the cell shown. The value obtained for the volume is 20.90 A^3/atom. The calculation puts the uncorrected formation energy at -0.551 eV/atom.

Lattice parameters (Å, degrees): 8.2808 8.2808 6.4013 102.52 102.52 85.22
Fractional positions:
Li 0.1084 0.8916 0.7500
Li 0.8916 0.1084 0.2500
Si 0.2068 0.3792 0.7562
Si 0.3792 0.2068 0.2562
Si 0.6208 0.7932 0.7438
Si 0.7932 0.6208 0.2438
Ge 0.2392 0.7608 0.2500
Ge 0.7608 0.2392 0.7500
S 0.0273 0.1913 0.6442
S 0.1060 0.6151 0.8717
S 0.1913 0.0273 0.1442
S 0.3036 0.4214 0.4813
S 0.3849 0.8940 0.6283
S 0.4214 0.3036 0.9813
S 0.5786 0.6964 0.0187
S 0.6151 0.1060 0.3717
S 0.6964 0.5786 0.5187
S 0.8087 0.9727 0.8558
S 0.8940 0.3849 0.1283
S 0.9727 0.8087 0.3558

A plane-wave DFT calculation with PBE was carried out for Li2SmGeS4 after structural relaxation.

Computed properties:
Its total energy is -39.0 eV for the cell shown. The value obtained for the volume is 19.60 A^3/atom. The calculation puts the uncorrected formation energy at -1.165 eV/atom.

Lattice parameters (Å, degrees): 6.5225 3.8193 6.6882 90.00 109.77 90.00
Fractional positions:
Li 0.0000 0.0000 0.0000
Li 0.0000 0.5000 0.5000
Sm 0.5000 0.0000 0.5000
Ge 0.5000 0.5000 0.0000
S 0.2485 0.5000 0.2289
S 0.2530 0.0000 0.7672
S 0.7470 0.0000 0.2328
S 0.7515 0.5000 0.7711

A plane-wave DFT calculation with PBE was carried out for LiSmGeS4 after structural relaxation.

Computed properties:
Its total energy is -70.2 eV for the cell shown. The value obtained for the volume is 22.56 A^3/atom. The calculation puts the uncorrected formation energy at -1.050 eV/atom.

Lattice parameters (Å, degrees): 7.6083 7.6083 7.6083 120.75 117.16 91.84
Fractional positions:
Li 0.5000 0.0000 0.0000
Li 0.5000 0.5000 0.5000
Sm 0.0000 0.0000 0.0000
Sm 0.5000 0.0000 0.5000
Ge 0.1184 0.3684 0.7500
Ge 0.8816 0.6316 0.2500
S 0.2300 0.7379 0.4922
S 0.2543 0.2621 0.9922
S 0.2552 0.2653 0.5101
S 0.2552 0.7451 0.9899
S 0.7448 0.2549 0.0101
S 0.7448 0.7347 0.4899
S 0.7457 0.7379 0.0078
S 0.7700 0.2621 0.5078

A plane-wave DFT calculation with PBE was carried out for LiSnGe2S6 after structural relaxation.

Computed properties:
Its total energy is -88.2 eV for the cell shown. The value obtained for the volume is 22.48 A^3/atom. The calculation puts the uncorrected formation energy at -0.419 eV/atom.

Lattice parameters (Å, degrees): 8.4260 8.4260 6.6780 102.82 102.82 83.20
Fractional positions:
Li 0.1062 0.8938 0.7500
Li 0.8938 0.1062 0.2500
Sn 0.2582 0.7418 0.2500
Sn 0.7418 0.2582 0.7500
Ge 0.2007 0.3795 0.7491
Ge 0.3795 0.2007 0.2491
Ge 0.6205 0.7993 0.7509
Ge 0.7993 0.6205 0.2509
S 0.0255 0.1861 0.6358
S 0.0900 0.6235 0.8669
S 0.1861 0.0255 0.1358
S 0.3112 0.4265 0.4848
S 0.3765 0.9100 0.6331
S 0.4265 0.3112 0.9848
S 0.5735 0.6888 0.0152
S 0.6235 0.0900 0.3669
S 0.6888 0.5735 0.5152
S 0.8139 0.9745 0.8642
S 0.9100 0.3765 0.1331
S 0.9745 0.8139 0.3642

A plane-wave DFT calculation with PBE was carried out for SrLi2GeS4 after structural relaxation.

Computed properties:
Its total energy is -36.6 eV for the cell shown. The value obtained for the volume is 21.43 A^3/atom. The calculation puts the uncorrected formation energy at -1.247 eV/atom.

Lattice parameters (Å, degrees): 6.1065 6.1065 6.1065 114.65 114.65 99.55
Fractional positions:
Sr 0.0000 0.0000 0.0000
Li 0.2500 0.7500 0.5000
Li 0.7500 0.2500 0.5000
Ge 0.5000 0.5000 0.0000
S 0.1408 0.1408 0.6076
S 0.4667 0.8592 0.0000
S 0.5333 0.5333 0.3924
S 0.8592 0.4667 0.0000